Here is a geometry-optimized Li3YBr6 structure from Alexandria. Energies are from GGA-PBEsol.

Unit cell a=6.772 b=6.772 c=12.917 alpha=95.03 beta=95.03 gamma=119.98
Element x y z (fractional)
1 Li 0.086 0.914 0.750
2 Li 0.161 0.321 0.000
3 Li 0.321 0.161 0.500
4 Li 0.679 0.839 0.500
5 Li 0.839 0.679 0.000
6 Li 0.914 0.086 0.250
7 Y 0.000 0.500 0.500
8 Y 0.500 0.000 0.000
9 Br 0.041 0.203 0.623
10 Br 0.115 0.628 0.878
11 Br 0.203 0.041 0.123
12 Br 0.290 0.446 0.377
13 Br 0.372 0.885 0.622
14 Br 0.446 0.290 0.877
15 Br 0.554 0.710 0.123
16 Br 0.628 0.115 0.378
17 Br 0.710 0.554 0.623
18 Br 0.797 0.959 0.877
19 Br 0.885 0.372 0.122
20 Br 0.959 0.797 0.377

**Crystal system**: monoclinic
**Energy relative to the elements, uncorrected**: -1672 meV per atom
**Total magnetic moment**: 0.00 μB/f.u.
**Raw total energy**: -4.07 eV per atom